This record from Alexandria describes a relaxed structure of Pa2Ni4Ge3. The functional is GGA-PBE.

VASP energy: -6.67 eV per atom
calculated formation energy: -0.449 eV per atom
total magnetic moment: 0.00 Bohr magnetons per cell

a = 7.812 Å, b = 7.812 Å, c = 6.914 Å
α = 90.00°, β = 90.00°, γ = 137.71°
Atoms (fractional coordinates):
Pa  0.101  0.899  0.908
Pa  0.399  0.601  0.408
Pa  0.601  0.399  0.592
Pa  0.899  0.101  0.092
Ni  0.171  0.829  0.517
Ni  0.182  0.318  0.750
Ni  0.318  0.182  0.250
Ni  0.329  0.671  0.017
Ni  0.671  0.329  0.983
Ni  0.682  0.818  0.750
Ni  0.818  0.682  0.250
Ni  0.829  0.171  0.483
Ge  0.000  0.000  0.500
Ge  0.016  0.484  0.750
Ge  0.484  0.016  0.250
Ge  0.500  0.500  0.000
Ge  0.516  0.984  0.750
Ge  0.984  0.516  0.250